# NaPr2ScTe4, optimized geometry, DFT PBE-GGA
# D(E_F) = 3.69 states/eV/f.u.
# Energy relative to the elements, uncorrected = -1.29 eV/atom
# Uncorrected energy = -5.0108 eV per atom
data_NaPr2ScTe4
_chemical_formula_sum 'Na1 Pr2 Sc1 Te4'
_space_group_name_H-M_alt 'P 1 2/m 1'
_space_group_IT_number 10
_space_group_name_Hall '-P 2y'
_cell_length_a 7.644
_cell_length_b 4.405
_cell_length_c 7.714
_cell_angle_alpha 90.00
_cell_angle_beta 109.01
_cell_angle_gamma 90.00
loop_
_atom_site_label
_atom_site_fract_x
_atom_site_fract_y
_atom_site_fract_z
Na1 0.000 0.000 0.000
Pr1 0.500 0.000 0.500
Pr2 0.500 0.500 0.000
Sc1 0.000 0.500 0.500
Te1 0.228 0.000 0.736
Te2 0.235 0.500 0.253

***

# Na3Pr3ScTe8, optimized geometry, DFT PBE-GGA
# D(E_F) = 5.36 states/eV/f.u.
# Energy relative to the elements, uncorrected = -1.22 eV/atom
# Uncorrected energy = -4.5335 eV per atom
data_Na3Pr3ScTe8
_chemical_formula_sum 'Na6 Pr6 Sc2 Te16'
_space_group_name_H-M_alt 'C 1 2/m 1'
_space_group_IT_number 12
_space_group_name_Hall '-C 2y'
_cell_length_a 15.497
_cell_length_b 8.943
_cell_length_c 9.266
_cell_angle_alpha 90.00
_cell_angle_beta 123.94
_cell_angle_gamma 90.00
loop_
_atom_site_label
_atom_site_fract_x
_atom_site_fract_y
_atom_site_fract_z
Na1 0.000 0.000 0.000
Na2 0.250 0.250 0.000
Pr1 0.000 0.500 0.500
Pr2 0.250 0.250 0.500
Sc1 0.000 0.000 0.500
Te1 0.002 0.234 0.272
Te2 0.233 0.000 0.728
Te3 0.248 0.500 0.744

***

# Na3Pr2ScTe6, optimized geometry, DFT PBE-GGA
# Energy relative to the elements, uncorrected = -1.27 eV/atom
# Uncorrected energy = -4.4947 eV per atom
data_Na3Pr2ScTe6
_chemical_formula_sum 'Na6 Pr4 Sc2 Te12'
_space_group_name_H-M_alt 'C 1 2/m 1'
_space_group_IT_number 12
_space_group_name_Hall '-C 2y'
_cell_length_a 7.746
_cell_length_b 13.427
_cell_length_c 7.993
_cell_angle_alpha 90.00
_cell_angle_beta 109.00
_cell_angle_gamma 90.00
loop_
_atom_site_label
_atom_site_fract_x
_atom_site_fract_y
_atom_site_fract_z
Na1 0.000 0.000 0.000
Na2 0.000 0.328 0.000
Pr1 0.000 0.166 0.500
Sc1 0.000 0.500 0.500
Te1 0.234 0.343 0.734
Te2 0.234 0.500 0.267

***

# Na4PrSc3Te8, optimized geometry, DFT PBE-GGA
# Energy relative to the elements, uncorrected = -1.21 eV/atom
# Uncorrected energy = -4.5937 eV per atom
data_Na4PrSc3Te8
_chemical_formula_sum 'Na12 Pr3 Sc9 Te24'
_space_group_name_H-M_alt 'R -3 m'
_space_group_IT_number 166
_space_group_name_Hall '-R 3 2"'
_cell_length_a 8.6651
_cell_length_b 8.6651
_cell_length_c 22.6349
_cell_angle_alpha 90.00
_cell_angle_beta 90.00
_cell_angle_gamma 120.00
loop_
_atom_site_label
_atom_site_fract_x
_atom_site_fract_y
_atom_site_fract_z
Na1 0.0000 0.0000 0.0000
Na2 0.0000 0.5000 0.0000
Pr1 0.0000 0.0000 0.5000
Sc1 0.0000 0.5000 0.5000
Te1 0.0000 0.0000 0.2391
Te2 0.0179 0.5089 0.7576

***

# NaPr2Se3, optimized geometry, DFT PBE-GGA
# D(E_F) = 1.69 states/eV/f.u.
# Energy relative to the elements, uncorrected = -1.74 eV/atom
# Uncorrected energy = -5.2904 eV per atom
data_NaPr2Se3
_chemical_formula_sum 'Na2 Pr4 Se6'
_space_group_name_H-M_alt 'I m m m'
_space_group_IT_number 71
_space_group_name_Hall '-I 2 2'
_cell_length_a 4.243
_cell_length_b 6.019
_cell_length_c 12.910
_cell_angle_alpha 90.00
_cell_angle_beta 90.00
_cell_angle_gamma 90.00
loop_
_atom_site_label
_atom_site_fract_x
_atom_site_fract_y
_atom_site_fract_z
Na1 0.000 0.000 0.000
Pr1 0.000 0.000 0.336
Se1 0.000 0.500 0.000
Se2 0.000 0.500 0.332

***

# Na3Pr5Se8, optimized geometry, DFT PBE-GGA
# D(E_F) = 4.45 states/eV/f.u.
# Energy relative to the elements, uncorrected = -1.72 eV/atom
# Uncorrected energy = -5.2046 eV per atom
data_Na3Pr5Se8
_chemical_formula_sum 'Na9 Pr15 Se24'
_space_group_name_H-M_alt 'R -3 m'
_space_group_IT_number 166
_space_group_name_Hall '-R 3 2"'
_cell_length_a 8.5458
_cell_length_b 8.5458
_cell_length_c 20.9714
_cell_angle_alpha 90.00
_cell_angle_beta 90.00
_cell_angle_gamma 120.00
loop_
_atom_site_label
_atom_site_fract_x
_atom_site_fract_y
_atom_site_fract_z
Na1 0.0000 0.5000 0.0000
Pr1 0.0000 0.0000 0.0000
Pr2 0.0000 0.0000 0.5000
Pr3 0.0000 0.5000 0.5000
Se1 0.0000 0.0000 0.2472
Se2 0.9996 0.4998 0.2499

***

# Na2PrSe2, optimized geometry, DFT PBE-GGA
# D(E_F) = 2.07 states/eV/f.u.
# Energy relative to the elements, uncorrected = -1.29 eV/atom
# Uncorrected energy = -4.1720 eV per atom
data_Na2PrSe2
_chemical_formula_sum 'Na6 Pr3 Se6'
_space_group_name_H-M_alt 'R -3 m'
_space_group_IT_number 166
_space_group_name_Hall '-R 3 2"'
_cell_length_a 4.2576
_cell_length_b 4.2576
_cell_length_c 30.9712
_cell_angle_alpha 90.00
_cell_angle_beta 90.00
_cell_angle_gamma 120.00
loop_
_atom_site_label
_atom_site_fract_x
_atom_site_fract_y
_atom_site_fract_z
Na1 0.0000 0.0000 0.2223
Pr1 0.0000 0.0000 0.0000
Se1 0.0000 0.0000 0.3893

***

# NaPrSe, optimized geometry, DFT PBE-GGA
# D(E_F) = 2.43 states/eV/f.u.
# Energy relative to the elements, uncorrected = -0.83 eV/atom
# Uncorrected energy = -4.0241 eV per atom
data_NaPrSe
_chemical_formula_sum 'Na8 Pr8 Se8'
_space_group_name_H-M_alt 'C m c e'
_space_group_IT_number 64
_space_group_name_Hall '-C 2ac 2'
_cell_length_a 8.536
_cell_length_b 11.290
_cell_length_c 7.596
_cell_angle_alpha 90.00
_cell_angle_beta 90.00
_cell_angle_gamma 90.00
loop_
_atom_site_label
_atom_site_fract_x
_atom_site_fract_y
_atom_site_fract_z
Na1 0.207 0.000 0.000
Pr1 0.000 0.205 0.366
Se1 0.000 0.061 0.714

***

# Na3Pr2Se4, optimized geometry, DFT PBE-GGA
# D(E_F) = 2.34 states/eV/f.u.
# Energy relative to the elements, uncorrected = -1.46 eV/atom
# Uncorrected energy = -4.5141 eV per atom
data_Na3Pr2Se4
_chemical_formula_sum 'Na6 Pr4 Se8'
_space_group_name_H-M_alt 'C 1 2/m 1'
_space_group_IT_number 12
_space_group_name_Hall '-C 2y'
_cell_length_a 7.426
_cell_length_b 4.287
_cell_length_c 17.366
_cell_angle_alpha 90.00
_cell_angle_beta 90.04
_cell_angle_gamma 90.00
loop_
_atom_site_label
_atom_site_fract_x
_atom_site_fract_y
_atom_site_fract_z
Na1 0.000 0.000 0.000
Na2 0.166 0.500 0.600
Pr1 0.167 0.500 0.202
Se1 0.001 0.000 0.302
Se2 0.166 0.500 0.894

***

# NaPr4Se6, optimized geometry, DFT PBE-GGA
# D(E_F) = 5.13 states/eV/f.u.
# Energy relative to the elements, uncorrected = -1.71 eV/atom
# Uncorrected energy = -5.4694 eV per atom
data_NaPr4Se6
_chemical_formula_sum 'Na6 Pr24 Se36'
_space_group_name_H-M_alt 'R -3 c'
_space_group_IT_number 167
_space_group_name_Hall '-R 3 2"c'
_cell_length_a 11.8620
_cell_length_b 11.8620
_cell_length_c 14.2336
_cell_angle_alpha 90.00
_cell_angle_beta 90.00
_cell_angle_gamma 120.00
loop_
_atom_site_label
_atom_site_fract_x
_atom_site_fract_y
_atom_site_fract_z
Na1 0.0000 0.0000 0.0000
Pr1 0.0000 0.0000 0.2500
Pr2 0.0000 0.3892 0.2500
Se1 0.0290 0.2049 0.3849

***

# NaPrSm4Se8, optimized geometry, DFT PBE-GGA
# D(E_F) = 0.00 states/eV/f.u.
# Energy relative to the elements, uncorrected = -1.76 eV/atom
# Uncorrected energy = -5.5344 eV per atom
data_NaPrSm4Se8
_chemical_formula_sum 'Na3 Pr3 Sm12 Se24'
_space_group_name_H-M_alt 'R 3 m'
_space_group_IT_number 160
_space_group_name_Hall 'R 3 -2"'
_cell_length_a 8.6344
_cell_length_b 8.6344
_cell_length_c 21.3484
_cell_angle_alpha 90.00
_cell_angle_beta 90.00
_cell_angle_gamma 120.00
loop_
_atom_site_label
_atom_site_fract_x
_atom_site_fract_y
_atom_site_fract_z
Na1 0.0000 0.0000 0.0000
Pr1 0.0000 0.0000 0.6305
Sm1 0.0000 0.0000 0.2518
Sm2 0.1727 0.3455 0.4580
Se1 0.0000 0.0000 0.3844
Se2 0.0000 0.0000 0.8660
Se3 0.0231 0.5115 0.3810
Se4 0.1760 0.3520 0.2055

***

# NaPr2Sm3Se6, optimized geometry, DFT PBE-GGA
# D(E_F) = 3.84 states/eV/f.u.
# Energy relative to the elements, uncorrected = -1.80 eV/atom
# Uncorrected energy = -5.6239 eV per atom
data_NaPr2Sm3Se6
_chemical_formula_sum 'Na2 Pr4 Sm6 Se12'
_space_group_name_H-M_alt 'C 1 2/m 1'
_space_group_IT_number 12
_space_group_name_Hall '-C 2y'
_cell_length_a 18.412
_cell_length_b 4.199
_cell_length_c 8.466
_cell_angle_alpha 90.00
_cell_angle_beta 103.45
_cell_angle_gamma 90.00
loop_
_atom_site_label
_atom_site_fract_x
_atom_site_fract_y
_atom_site_fract_z
Na1 0.000 0.000 0.000
Pr1 0.169 0.500 0.341
Sm1 0.000 0.000 0.500
Sm2 0.166 0.500 0.828
Se1 0.001 0.500 0.748
Se2 0.163 0.000 0.588
Se3 0.167 0.000 0.077